Entry 1:
Below is La3ZrPa3N8 after structural relaxation, with properties calculated at the PBE level.

Properties
- size of the total moment (μB per formula unit) = 0.00
- uncorrected formation energy (meV per atom) = -1498
- E_tot (eV per atom) = -9.393

Cell and atoms, written as POSCAR:
```
La3ZrPa3N8
1.0
7.0229 0.0000 0.0000
-3.5115 6.0820 -0.0209
0.0000 -4.0343 5.9575
N La Pa Zr
8 3 3 1
direct
0.2645 0.5290 0.2935
0.7743 0.0331 0.3073
0.7743 0.5485 0.3073
0.7412 0.9669 0.6927
0.2257 0.4515 0.6927
0.7355 0.4710 0.7065
0.2588 0.0331 0.3073
0.2257 0.9669 0.6927
0.0000 0.5000 0.0000
0.5000 0.5000 0.0000
0.0000 0.0000 0.0000
0.0000 0.5000 0.5000
0.5000 0.5000 0.5000
0.5000 0.0000 0.5000
0.0000 0.0000 0.5000
```

***

Entry 2:
Below is Ac3TbCo after structural relaxation, with properties calculated at the PBE level.

Properties
- size of the total moment (μB per formula unit) = 0.00
- formation energy from the elements (meV per atom) = 89
- E_tot (eV per atom) = -4.723

Cell and atoms, written as POSCAR:
```
Ac3TbCo
1.0
5.6737 0.0000 0.0000
0.0000 5.6737 0.0000
0.0000 0.0000 5.6737
Co Ac Tb
1 3 1
direct
0.0000 0.0000 0.0000
0.0000 0.5000 0.0000
0.0000 0.0000 0.5000
0.5000 0.0000 0.0000
0.5000 0.5000 0.5000
```

***

Entry 3:
Below is InPdI2N after structural relaxation, with properties calculated at the PBE level.

Properties
- size of the total moment (μB per formula unit) = 0.00
- uncorrected formation energy (meV per atom) = 399
- E_tot (eV per atom) = -3.473

Cell and atoms, written as POSCAR:
```
InPdI2N
1.0
-3.3804 4.0076 2.8282
-4.6276 -3.7446 -0.2249
1.0401 -1.4865 3.3496
I In N Pd
2 1 1 1
direct
0.0000 0.5000 0.0000
0.5000 0.0000 0.0000
0.5000 0.5000 0.5000
0.0000 0.0000 0.5000
0.0000 0.0000 0.0000
```

***

Entry 4:
Below is Tl4Cd3 after structural relaxation, with properties calculated at the PBE level.

Properties
- size of the total moment (μB per formula unit) = 0.00
- formation energy from the elements (meV per atom) = 72
- E_tot (eV per atom) = -1.673

Cell and atoms, written as POSCAR:
```
Tl4Cd3
1.0
5.0266 0.0000 0.0000
-2.5133 4.3834 -0.0983
0.0000 -2.8309 9.2229
Tl Cd
4 3
direct
0.2112 0.4224 0.6284
0.0635 0.1270 0.1981
0.9365 0.8730 0.8019
0.7888 0.5776 0.3716
0.5000 0.0000 0.5000
0.6551 0.3103 0.9663
0.3449 0.6897 0.0337
```

***

Entry 5:
Below is TmPaAs after structural relaxation, with properties calculated at the PBE level.

Properties
- size of the total moment (μB per formula unit) = 0.02
- formation energy from the elements (meV per atom) = -437
- E_tot (eV per atom) = -6.643

Cell and atoms, written as POSCAR:
```
TmPaAs
1.0
3.5478 0.0000 0.0000
0.0000 3.4345 0.0000
0.0000 1.7172 11.7675
As Tm Pa
2 2 2
direct
0.7500 0.8786 0.2427
0.2500 0.1214 0.7573
0.2500 0.3053 0.3893
0.7500 0.6947 0.6107
0.7500 0.5477 0.9046
0.2500 0.4523 0.0954
```

***

Entry 6:
Below is Pr2BeGa3 after structural relaxation, with properties calculated at the PBE level.

Properties
- size of the total moment (μB per formula unit) = 0.00
- formation energy from the elements (meV per atom) = -523
- E_tot (eV per atom) = -4.250

Cell and atoms, written as POSCAR:
```
Pr2BeGa3
1.0
5.7191 0.7679 -1.7804
-1.1360 5.6575 -1.7804
-0.5548 -0.7778 8.4093
Pr Ga Be
4 6 2
direct
0.7552 0.7552 0.0000
0.7500 0.2500 0.5000
0.2500 0.7500 0.5000
0.2448 0.2448 0.0000
0.8263 0.8263 0.6526
0.1737 0.1737 0.3474
0.3489 0.8252 0.1742
0.1748 0.6511 0.8258
0.8252 0.3489 0.1742
0.6511 0.1748 0.8258
0.6666 0.6666 0.3332
0.3334 0.3334 0.6668
```

***

Entry 7:
Below is Li8Au3 after structural relaxation, with properties calculated at the PBE level.

Properties
- size of the total moment (μB per formula unit) = 0.00
- formation energy from the elements (meV per atom) = -245
- E_tot (eV per atom) = -2.531

Cell and atoms, written as POSCAR:
```
Li8Au3
1.0
-3.0626 0.2583 -5.2156
-5.4479 -0.3157 2.6209
-0.7905 5.9987 0.1988
Li Au
8 3
direct
0.7582 0.1722 0.7584
0.8278 0.2416 0.2418
0.1722 0.7584 0.7582
0.3783 0.3783 0.3783
0.7584 0.7582 0.1722
0.2418 0.8278 0.2416
0.2416 0.2418 0.8278
0.6217 0.6217 0.6217
0.5000 0.0000 0.5000
0.0000 0.5000 0.5000
0.5000 0.5000 0.0000
```

***

Entry 8:
Below is KAl2Hg after structural relaxation, with properties calculated at the PBE level.

Properties
- size of the total moment (μB per formula unit) = 0.00
- formation energy from the elements (meV per atom) = 253
- E_tot (eV per atom) = -1.969

Cell and atoms, written as POSCAR:
```
KAl2Hg
1.0
-7.3247 6.5299 3.0016
-9.2640 4.1063 1.6176
-8.2106 3.8089 4.8351
Hg Al K
1 2 1
direct
0.5128 0.5128 0.5128
0.9869 0.9869 0.9869
0.2495 0.2495 0.2495
0.7508 0.7508 0.7508
```

***

Entry 9:
Below is TlCu2Mo after structural relaxation, with properties calculated at the PBE level.

Properties
- size of the total moment (μB per formula unit) = 0.00
- formation energy from the elements (meV per atom) = 548
- E_tot (eV per atom) = -4.799

Cell and atoms, written as POSCAR:
```
TlCu2Mo
1.0
-3.1308 -2.2946 3.1252
1.7152 -3.2021 -3.4115
2.1213 -0.6328 1.6605
Cu Mo Tl
2 1 1
direct
0.0000 0.0000 0.0000
0.5000 0.5000 0.0000
0.5000 0.0000 0.5000
0.0000 0.5000 0.5000
```

***

Entry 10:
Below is PmScZnIn after structural relaxation, with properties calculated at the PBE level.

Properties
- size of the total moment (μB per formula unit) = 0.00
- formation energy from the elements (meV per atom) = -373
- E_tot (eV per atom) = -4.146

Cell and atoms, written as POSCAR:
```
PmScZnIn
1.0
5.1280 0.0000 0.0000
2.5640 4.4410 0.0000
2.5640 1.4803 4.1870
In Sc Zn Pm
1 1 1 1
direct
0.5000 0.5000 0.5000
0.2500 0.2500 0.2500
0.0000 0.0000 0.0000
0.7500 0.7500 0.7500
```

***

Entry 11:
Below is RbCuMoBr6 after structural relaxation, with properties calculated at the PBE level.

Properties
- size of the total moment (μB per formula unit) = 1.99
- uncorrected formation energy (meV per atom) = -714
- E_tot (eV per atom) = -3.596

Cell and atoms, written as POSCAR:
```
RbCuMoBr6
1.0
-5.0891 4.5427 -0.3793
-4.1906 -0.0034 -5.3959
-4.7137 -4.9708 3.6663
Mo Br Rb Cu
1 6 1 1
direct
0.3333 0.3333 0.5000
0.3638 0.6280 0.3115
0.6281 0.0081 0.3113
0.0081 0.3639 0.3116
0.3639 0.0081 0.6884
0.0080 0.6281 0.6886
0.6279 0.3638 0.6885
0.0001 0.0001 0.0000
0.6666 0.6666 0.5000
```

***

Entry 12:
Below is Rb2NbZn after structural relaxation, with properties calculated at the PBE level.

Properties
- size of the total moment (μB per formula unit) = 4.68
- formation energy from the elements (meV per atom) = 1106
- E_tot (eV per atom) = -2.213

Cell and atoms, written as POSCAR:
```
Rb2NbZn
1.0
12.7459 0.0000 0.0000
0.0000 12.7459 0.0000
6.3729 6.3729 2.6792
Nb Zn Rb
2 2 4
direct
0.0000 0.0000 0.0000
0.7500 0.2500 0.5000
0.2500 0.7500 0.5000
0.5000 0.5000 0.0000
0.3750 0.5290 0.7500
0.2790 0.6250 0.2500
0.8750 0.7210 0.7500
0.4710 0.1250 0.2500
```

***

Entry 13:
Below is Ho2Ga4Ir3Ru after structural relaxation, with properties calculated at the PBE level.

Properties
- size of the total moment (μB per formula unit) = 0.00
- formation energy from the elements (meV per atom) = -636
- E_tot (eV per atom) = -6.348

Cell and atoms, written as POSCAR:
```
Ho2Ga4Ir3Ru
1.0
4.3094 0.0000 0.0000
0.0000 4.3094 0.0000
0.0000 0.0000 9.9037
Ir Ru Ga Ho
3 1 4 2
direct
0.0000 0.0000 0.5000
0.0000 0.5000 0.1295
0.5000 0.0000 0.8705
0.5000 0.5000 0.5000
0.5000 0.5000 0.0000
0.0000 0.0000 0.0000
0.5000 0.0000 0.6249
0.0000 0.5000 0.3751
0.0000 0.5000 0.7251
0.5000 0.0000 0.2749
```

***

Entry 14:
Below is Pm2Pr2Sm after structural relaxation, with properties calculated at the PBE level.

Properties
- size of the total moment (μB per formula unit) = 0.00
- formation energy from the elements (meV per atom) = 222
- E_tot (eV per atom) = -4.534

Cell and atoms, written as POSCAR:
```
Pm2Pr2Sm
1.0
-3.5043 3.6054 7.5914
3.2966 -5.2870 2.0505
5.3194 3.6284 -1.2500
Pm Pr Sm
4 4 2
direct
0.5000 0.5000 0.0000
0.0000 0.5000 0.5000
0.5000 0.5000 0.5000
0.0000 0.0000 0.5000
0.3634 0.9325 0.7471
0.8634 0.7471 0.9325
0.1366 0.2529 0.0675
0.6366 0.0675 0.2529
0.7500 0.1987 0.8013
0.2500 0.8013 0.1987
```

***

Entry 15:
Below is CeGaTc2 after structural relaxation, with properties calculated at the PBE level.

Properties
- size of the total moment (μB per formula unit) = 0.00
- formation energy from the elements (meV per atom) = -62
- E_tot (eV per atom) = -7.486

Cell and atoms, written as POSCAR:
```
CeGaTc2
1.0
-3.7302 -2.5446 -0.7973
0.4255 -4.1796 -1.8372
-0.8255 -3.7203 2.5501
Tc Ga Ce
2 1 1
direct
0.2500 0.2500 0.2500
0.7500 0.7500 0.7500
0.0000 0.0000 0.0000
0.5000 0.5000 0.5000
```

***

Entry 16:
Below is Ac2CeGe3Au12 after structural relaxation, with properties calculated at the PBE level.

Properties
- size of the total moment (μB per formula unit) = 1.01
- formation energy from the elements (meV per atom) = -176
- E_tot (eV per atom) = -3.917

Cell and atoms, written as POSCAR:
```
Ac2CeGe3Au12
1.0
-2.1195 6.6397 -4.6817
3.7627 0.2473 -7.5019
-5.0692 -1.8234 -6.4402
Au Ge Ac Ce
12 3 2 1
direct
0.6828 0.1563 0.6828
0.3172 0.3172 0.8437
0.8437 0.3172 0.3172
0.8539 0.3965 0.8539
0.6035 0.1461 0.1461
0.3965 0.8539 0.8539
0.1563 0.6828 0.6828
0.6828 0.6828 0.1563
0.3172 0.8437 0.3172
0.1461 0.1461 0.6035
0.1461 0.6035 0.1461
0.8539 0.8539 0.3965
0.0000 0.0000 0.5000
0.5000 0.0000 0.0000
0.0000 0.5000 0.0000
0.3984 0.3984 0.3984
0.6016 0.6016 0.6016
0.0000 0.0000 0.0000
```

***

Entry 17:
Below is NdTl2 after structural relaxation, with properties calculated at the PBE level.

Properties
- size of the total moment (μB per formula unit) = 0.00
- formation energy from the elements (meV per atom) = -278
- E_tot (eV per atom) = -3.445

Cell and atoms, written as POSCAR:
```
NdTl2
1.0
-3.1204 -3.7236 -2.5477
5.3518 -0.9503 0.7399
-1.3322 -2.9147 5.8917
Tl Nd
4 2
direct
0.3333 0.6667 0.2500
0.0000 0.0000 0.5000
0.6667 0.3333 0.7500
0.0000 0.0000 0.0000
0.6667 0.3333 0.2500
0.3333 0.6667 0.7500
```

***

Entry 18:
Below is NiB2Rh2 after structural relaxation, with properties calculated at the PBE level.

Properties
- size of the total moment (μB per formula unit) = 0.00
- formation energy from the elements (meV per atom) = -284
- E_tot (eV per atom) = -7.052

Cell and atoms, written as POSCAR:
```
NiB2Rh2
1.0
3.2116 0.0000 0.0000
0.0000 4.1797 -0.6184
0.0000 -2.2131 8.1662
B Rh Ni
4 4 2
direct
0.7500 0.6485 0.0179
0.2500 0.3515 0.9821
0.7500 0.1422 0.3617
0.2500 0.8578 0.6383
0.7500 0.2446 0.1264
0.2500 0.2813 0.5360
0.2500 0.7554 0.8736
0.7500 0.7187 0.4640
0.7500 0.1882 0.7885
0.2500 0.8118 0.2115
```

***

Entry 19:
Below is Rb3La2SmTe6 after structural relaxation, with properties calculated at the PBE level.

Properties
- size of the total moment (μB per formula unit) = 0.00
- uncorrected formation energy (meV per atom) = -1462
- E_tot (eV per atom) = -4.489

Cell and atoms, written as POSCAR:
```
Rb3La2SmTe6
1.0
8.1337 -0.0011 -0.0001
-4.0658 7.0446 -0.0001
-1.3567 -2.3492 8.5497
Te Sm Rb La
6 1 3 2
direct
0.9317 0.6046 0.7949
0.7416 0.7416 0.2056
0.2584 0.2584 0.7944
0.0683 0.3954 0.2051
0.3954 0.0683 0.2051
0.6046 0.9317 0.7949
0.0000 0.0000 0.0000
0.5000 0.5000 0.5000
0.8318 0.1682 0.5000
0.1682 0.8318 0.5000
0.6665 0.3335 0.0000
0.3335 0.6665 0.0000
```

***

Entry 20:
Below is NdEr2Al after structural relaxation, with properties calculated at the PBE level.

Properties
- size of the total moment (μB per formula unit) = 0.00
- formation energy from the elements (meV per atom) = -70
- E_tot (eV per atom) = -4.479

Cell and atoms, written as POSCAR:
```
NdEr2Al
1.0
-3.5055 -0.1268 -0.6576
-1.4408 -2.9311 -1.4386
-3.3102 -4.9180 8.9089
Al Er Nd
1 2 1
direct
0.6663 0.6663 0.0010
0.0713 0.0713 0.7862
0.2621 0.2621 0.2137
0.5003 0.5003 0.4991
```